(1)
VASP calculation (PBEsol) on a relaxed Al2CdOs crystal.

abc: 4.5557 3.0193 4.8585
angles: 90.00 111.02 90.00
Closest atoms and distances in Å follow each position.
Space group P2/m (No. 10)
One atom of each set of equivalent atoms:
Al  0.0000  0.0000  0.0000 [1 per cell]  2 Cd 2.67, 4 Os 2.73, 4 Al 2.86
Al  0.0000  0.5000  0.5000 [1 per cell]  2 Os 2.67, 4 Cd 2.73, 4 Al 2.86
Cd  0.5000  0.0000  0.5000 [1 per cell]  6 Al 2.67-2.73, 4 Os 2.86
Os  0.5000  0.5000  0.0000 [1 per cell]  6 Al 2.67-2.73, 4 Cd 2.86

Results
The total energy comes out at -5.262 eV/atom. The calculation puts the formation energy at 0.548 eV/f.u. The calculation puts the density of states at the Fermi level at 2.7 states/eV/cell. The volume is 15.60 Å³/atom.


(2)
VASP calculation (PBEsol) on a relaxed Al2CdOs crystal.

abc: 8.7086 3.0613 4.9198
angles: 90.00 101.96 90.00
Closest atoms and distances in Å follow each position.
Space group C2/m (No. 12)
One atom of each set of equivalent atoms:
Al  0.2333  0.0000  0.2049 [4 per cell]  3 Os 2.58-2.72, 2 Al 2.60, 1 Cd 2.73
Cd  0.0000  0.0000  0.5000 [2 per cell]  6 Al 2.73-2.91, 4 Os 2.90
Os  0.0000  0.5000  0.0000 [2 per cell]  6 Al 2.58-2.72

Results
The total energy comes out at -5.369 eV/atom. The calculation puts the formation energy at 0.118 eV/f.u. The calculation puts the density of states at the Fermi level at 4.7 states/eV/cell. The volume is 16.04 Å³/atom.


(3)
VASP calculation (PBEsol) on a relaxed Al2CdP crystal.

abc: 3.1186 3.1186 7.1051
angles: 90.00 90.00 90.00
Closest atoms and distances in Å follow each position.
Space group P4/mmm (No. 123)
One atom of each set of equivalent atoms:
Al  0.0000  0.0000  0.1984 [2 per cell]  4 P 2.62, 1 Al 2.82
Cd  0.5000  0.5000  0.5000 [1 per cell]  8 Al 3.07, 4 Cd 3.12
P  0.5000  0.5000  0.0000 [1 per cell]  8 Al 2.62

Results
The calculation puts the offset from the most stable computed form at 0.042 eV/atom. The total energy comes out at -3.732 eV/atom. The calculation puts the formation energy at 0.244 eV/f.u. The calculation puts the density of states at the Fermi level at 1.3 states/eV/cell. The volume is 17.28 Å³/atom.


(4)
VASP calculation (PBEsol) on a relaxed AlCdP2 crystal.

abc: 3.0060 3.0060 27.6332
angles: 90.00 90.00 120.00
Closest atoms and distances in Å follow each position.
Space group R3m (No. 160, hexagonal axes)
One atom of each set of equivalent atoms:
Al  0.0000  0.0000  0.0000 [3 per cell]  3 P 2.46
Cd  0.0000  0.0000  0.7508 [3 per cell]  3 P 2.77, 3 Al 2.90, 6 Cd 3.01
P  0.0000  0.0000  0.2703 [3 per cell]  3 Al 2.46
P  0.0000  0.0000  0.4956 [3 per cell]  3 Cd 2.77, 6 P 3.01

Results
The calculation puts the offset from the most stable computed form at 0.479 eV/atom. The total energy comes out at -3.826 eV/atom. The calculation puts the formation energy at 1.567 eV/f.u. The calculation puts the density of states at the Fermi level at 3.1 states/eV/cell. The volume is 18.02 Å³/atom.


(5)
VASP calculation (PBEsol) on a relaxed AlCdP2 crystal.

abc: 7.2204 3.5178 6.1754
angles: 90.00 92.62 90.00
Closest atoms and distances in Å follow each position.
Space group Cm (No. 8)
One atom of each set of equivalent atoms:
Al  0.0000  0.0000  0.0000 [2 per cell]  5 P 2.40-2.49
Cd  0.2878  0.5000  0.4955 [2 per cell]  5 P 2.53-2.74
P  0.2943  0.0000  0.8355 [2 per cell]  3 Al 2.40-2.49
P  0.4869  0.0000  0.2699 [2 per cell]  2 Al 2.43, 3 Cd 2.53-2.70

Results
The calculation puts the offset from the most stable computed form at 0.073 eV/atom. The total energy comes out at -4.233 eV/atom. The calculation puts the formation energy at -0.059 eV/f.u. The calculation puts the density of states at the Fermi level at 3.8 states/eV/cell. The volume is 19.59 Å³/atom.


(6)
VASP calculation (PBEsol) on a relaxed Al2CdP crystal.

abc: 3.3661 3.4105 13.0437
angles: 90.00 90.00 90.00
Closest atoms and distances in Å follow each position.
Space group Imm2 (No. 44)
One atom of each set of equivalent atoms:
Al  0.0000  0.0000  0.0000 [2 per cell]  4 P 2.49
Al  0.0000  0.5000  0.1916 [2 per cell]  2 P 2.47
Cd  0.0000  0.5000  0.8223 [2 per cell]  6 Al 2.88-2.94
P  0.0000  0.0000  0.5527 [2 per cell]  6 Al 2.47-2.49

Results
The calculation puts the offset from the most stable computed form at 0.000 eV/atom. The total energy comes out at -3.774 eV/atom. The calculation puts the formation energy at 0.074 eV/f.u. The calculation puts the density of states at the Fermi level at 2.7 states/eV/cell. The volume is 18.72 Å³/atom.


(7)
VASP calculation (PBEsol) on a relaxed AlCdP3 crystal.

abc: 4.6197 4.6197 4.6197
angles: 90.00 90.00 90.00
Closest atoms and distances in Å follow each position.
Space group Pm-3m (No. 221)
One atom of each set of equivalent atoms:
Al  0.0000  0.0000  0.0000 [1 per cell]  6 P 2.31
Cd  0.5000  0.5000  0.5000 [1 per cell]  12 P 3.27
P  0.0000  0.0000  0.5000 [3 per cell]  2 Al 2.31

Results
The calculation puts the offset from the most stable computed form at 0.000 eV/atom. The total energy comes out at -3.864 eV/atom. The calculation puts the formation energy at 3.345 eV/f.u. The calculation puts the density of states at the Fermi level at 3.8 states/eV/cell. The volume is 19.72 Å³/atom.


(8)
VASP calculation (PBEsol) on a relaxed AlCdP2 crystal.

abc: 3.6401 3.6401 10.7266
angles: 90.00 90.00 90.00
Closest atoms and distances in Å follow each position.
Space group I-4m2 (No. 119)
One atom of each set of equivalent atoms:
Al  0.0000  0.0000  0.0000 [2 per cell]  4 P 2.57
Cd  0.0000  0.5000  0.2500 [2 per cell]  4 P 2.57
P  0.0000  0.0000  0.5000 [2 per cell]  4 Al 2.57
P  0.0000  0.5000  0.7500 [2 per cell]  4 Cd 2.57

Results
The calculation puts the offset from the most stable computed form at 0.383 eV/atom. The total energy comes out at -3.922 eV/atom. The calculation puts the formation energy at 1.182 eV/f.u. The calculation puts the density of states at the Fermi level at 4.3 states/eV/cell. The volume is 17.77 Å³/atom.


(9)
VASP calculation (PBEsol) on a relaxed AlCdP2 crystal.

abc: 3.6817 5.0603 7.4115
angles: 90.00 90.00 90.00
Closest atoms and distances in Å follow each position.
Space group Cmmm (No. 65)
One atom of each set of equivalent atoms:
Al  0.0000  0.0000  0.0000 [2 per cell]  4 P 2.46
Cd  0.0000  0.0000  0.5000 [2 per cell]  4 P 2.77
P  0.0000  0.5000  0.2209 [4 per cell]  2 Al 2.46

Results
The calculation puts the offset from the most stable computed form at 0.314 eV/atom. The total energy comes out at -3.991 eV/atom. The calculation puts the formation energy at 0.907 eV/f.u. The calculation puts the density of states at the Fermi level at 4.2 states/eV/cell. The volume is 17.26 Å³/atom.


(10)
VASP calculation (PBEsol) on a relaxed Al2CdP crystal.

abc: 3.7770 4.2283 4.4070
angles: 90.00 90.00 90.00
Closest atoms and distances in Å follow each position.
Space group Pmmm (No. 47)
One atom of each set of equivalent atoms:
Al  0.0000  0.0000  0.0000 [1 per cell]  4 P 2.83, 4 Al 2.90, 4 Cd 3.05
Al  0.5000  0.0000  0.5000 [1 per cell]  4 Cd 2.83, 4 Al 2.90, 4 P 3.05
Cd  0.0000  0.5000  0.5000 [1 per cell]  8 Al 2.83-3.05, 4 P 2.90
P  0.5000  0.5000  0.0000 [1 per cell]  8 Al 2.83-3.05, 4 Cd 2.90

Results
The calculation puts the offset from the most stable computed form at 0.218 eV/atom. The total energy comes out at -3.556 eV/atom. The calculation puts the formation energy at 0.946 eV/f.u. The calculation puts the density of states at the Fermi level at 1.6 states/eV/cell. The volume is 17.60 Å³/atom.


(11)
VASP calculation (PBEsol) on a relaxed AlCdP2 crystal.

abc: 3.6048 3.7208 5.2502
angles: 90.00 90.00 90.00
Closest atoms and distances in Å follow each position.
Space group Pmmm (No. 47)
One atom of each set of equivalent atoms:
Al  0.0000  0.0000  0.0000 [1 per cell]  4 P 2.59
Cd  0.0000  0.5000  0.5000 [1 per cell]  4 P 2.59
P  0.5000  0.0000  0.5000 [1 per cell]  4 Cd 2.59
P  0.5000  0.5000  0.0000 [1 per cell]  4 Al 2.59

Results
The calculation puts the offset from the most stable computed form at 0.393 eV/atom. The total energy comes out at -3.912 eV/atom. The calculation puts the formation energy at 1.223 eV/f.u. The calculation puts the density of states at the Fermi level at 1.9 states/eV/cell. The volume is 17.61 Å³/atom.


(12)
VASP calculation (PBEsol) on a relaxed Al2CdP crystal.

abc: 4.0396 4.0396 8.5727
angles: 90.00 90.00 90.00
Closest atoms and distances in Å follow each position.
Space group I-4m2 (No. 119)
One atom of each set of equivalent atoms:
Al  0.0000  0.0000  0.0000 [2 per cell]  4 Cd 2.86, 4 Al 2.94, 4 P 2.94
Al  0.0000  0.5000  0.2500 [2 per cell]  4 P 2.86, 4 Cd 2.94, 4 Al 2.94
Cd  0.0000  0.0000  0.5000 [2 per cell]  8 Al 2.86-2.94, 4 P 2.94
P  0.0000  0.5000  0.7500 [2 per cell]  8 Al 2.86-2.94, 4 Cd 2.94

Results
The calculation puts the offset from the most stable computed form at 0.223 eV/atom. The total energy comes out at -3.552 eV/atom. The calculation puts the formation energy at 0.965 eV/f.u. The calculation puts the density of states at the Fermi level at 3.9 states/eV/cell. The volume is 17.49 Å³/atom.


(13)
VASP calculation (PBEsol) on a relaxed AlCdP2 crystal.

abc: 5.7192 5.7192 10.9499
angles: 90.00 90.00 90.00
Closest atoms and distances in Å follow each position.
Space group I-42d (No. 122)
One atom of each set of equivalent atoms:
Al  0.0000  0.0000  0.0000 [4 per cell]  4 P 2.36
Cd  0.0000  0.0000  0.5000 [4 per cell]  4 P 2.53
P  0.2247  0.2500  0.1250 [8 per cell]  2 Al 2.36, 2 Cd 2.53

Results
The calculation puts the offset from the most stable computed form at 0.000 eV/atom. The total energy comes out at -4.305 eV/atom. The calculation puts the formation energy at -0.350 eV/f.u. The calculation puts the density of states at the Fermi level at 11.0 states/eV/cell. The volume is 22.39 Å³/atom.


(14)
VASP calculation (PBEsol) on a relaxed AlCdP2 crystal.

abc: 4.8938 4.8938 2.8017
angles: 90.00 90.00 90.00
Closest atoms and distances in Å follow each position.
Space group P4/mmm (No. 123)
One atom of each set of equivalent atoms:
Al  0.0000  0.0000  0.0000 [1 per cell]  2 Al 2.80, 8 P 2.82
Cd  0.5000  0.5000  0.0000 [1 per cell]  2 Cd 2.80, 8 P 2.82
P  0.0000  0.5000  0.5000 [2 per cell]  2 P 2.80, 4 Cd 2.82, 4 Al 2.82

Results
The calculation puts the offset from the most stable computed form at 0.368 eV/atom. The total energy comes out at -3.937 eV/atom. The calculation puts the formation energy at 1.122 eV/f.u. The calculation puts the density of states at the Fermi level at 2.1 states/eV/cell. The volume is 16.78 Å³/atom.


(15)
VASP calculation (PBEsol) on a relaxed AlCdP2 crystal.

abc: 4.8854 4.9161 6.4161
angles: 90.00 90.00 90.00
Closest atoms and distances in Å follow each position.
Space group Amm2 (No. 38)
One atom of each set of equivalent atoms:
Al  0.0000  0.0000  0.0000 [2 per cell]  5 P 2.40-2.59
Cd  0.5000  0.0000  0.5336 [2 per cell]  5 P 2.51-2.65
P  0.0000  0.0000  0.3747 [2 per cell]  3 Al 2.40-2.59, 2 Cd 2.65
P  0.5000  0.0000  0.9242 [2 per cell]  2 Al 2.49, 3 Cd 2.51-2.56

Results
The calculation puts the offset from the most stable computed form at 0.084 eV/atom. The total energy comes out at -4.221 eV/atom. The calculation puts the formation energy at -0.015 eV/f.u. The calculation puts the density of states at the Fermi level at 3.2 states/eV/cell. The volume is 19.26 Å³/atom.


| no. | M_tot (Bohr magnetons per cell) |
| --- | --- |
| 1 | 0.00 |
| 2 | 0.00 |
| 3 | 0.00 |
| 4 | 0.00 |
| 5 | 0.00 |
| 6 | 0.00 |
| 7 | 0.00 |
| 8 | 0.00 |
| 9 | 0.00 |
| 10 | 0.00 |
| 11 | 0.00 |
| 12 | 0.00 |
| 13 | 0.00 |
| 14 | 0.00 |
| 15 | 0.00 |